(1)
PBE-GGA Be, optimized geometry; calculated volume = 15.9 Å³/cell; excess energy over the best structure of this formula in the dataset = 0 meV/atom; energy relative to the elements = 0.000 eV/atom
1.0
2.2838 0.0000 0.0000
-1.1419 1.9779 0.0000
0.0000 0.0000 3.5203
Be
2
Cartesian
0.0000 1.3186 0.8801
1.1419 0.6593 2.6402

(2)
PBE-GGA BeBi, optimized geometry; calculated volume = 199.8 Å³/cell; excess energy over the best structure of this formula in the dataset = 260 meV/atom; energy relative to the elements = 0.533 eV/atom
1.0
-4.9826 4.9826 2.0121
4.9826 -4.9826 2.0121
4.9826 4.9826 -2.0121
Be Bi
4 4
Cartesian
7.2210 1.9700 0.0000
1.9700 2.7441 0.0000
3.0126 2.2385 2.0121
-2.2385 3.0126 2.0121
4.5848 2.5237 0.0000
2.4589 -0.3977 2.0121
2.5237 5.3803 0.0000
0.3977 2.4589 2.0121

(3)
PBE-GGA BeBi, optimized geometry; calculated volume = 89.5 Å³/cell; excess energy over the best structure of this formula in the dataset = 63 meV/atom; energy relative to the elements = 0.337 eV/atom
1.0
3.7404 0.0000 0.0000
-1.7006 3.7766 0.0000
-0.7533 -1.3019 6.3392
Be Bi
2 2
Cartesian
-0.3240 0.4527 2.9541
1.6106 2.0219 3.3851
-0.3153 2.5903 1.4997
1.6019 -0.1156 4.8395

(4)
PBE-GGA BeBi, optimized geometry; calculated volume = 372.3 Å³/cell; excess energy over the best structure of this formula in the dataset = 392 meV/atom; energy relative to the elements = 0.666 eV/atom
1.0
7.1942 0.0000 0.0000
0.0000 7.1942 0.0000
0.0000 0.0000 7.1942
Be Bi
6 6
Cartesian
0.0000 1.7985 3.5971
0.0000 5.3956 3.5971
1.7985 3.5971 0.0000
3.5971 0.0000 1.7985
3.5971 0.0000 5.3956
5.3956 3.5971 0.0000
0.0000 3.5971 1.7985
0.0000 3.5971 5.3956
1.7985 0.0000 3.5971
3.5971 1.7985 0.0000
3.5971 5.3956 0.0000
5.3956 0.0000 3.5971

Among the records above, which one has the lowest calculated volume? Be

Look up the calculated volume of the second one. 199.8 Å³/cell

What is the formula in the third record? BeBi